Entry 1:
Computed, not measured: crystalline CrNi2Se at its relaxed geometry at the PBE level of DFT.

Summary:
* E_tot: -6.0278 eV/atom
* formation energy (no corrections): 54 kJ/mol of formula units
* magnetization: 3.3 μB per formula unit
* N(E_F): 3.36 states/eV/f.u.

The structure in CIF format:
```
data_CrNi2Se
_chemical_formula_sum 'Cr2 Ni4 Se2'
_symmetry_space_group_name_H-M 'C 1 m 1'
_symmetry_Int_Tables_number 8
_cell_length_a 8.6839
_cell_length_b 3.4146
_cell_length_c 3.8996
_cell_angle_alpha 90.00
_cell_angle_beta 116.55
_cell_angle_gamma 90.00
loop_
_symmetry_equiv_pos_as_xyz
'x,y,z'
'x,-y,z'
'x+1/2,y+1/2,z'
'x+1/2,-y+1/2,z'
loop_
_atom_site_label
_atom_site_type_symbol
_atom_site_fract_x
_atom_site_fract_y
_atom_site_fract_z
_atom_site_occupancy
Cr1 Cr 0.0000 0.0000 0.0000 1
Ni1 Ni 0.2295 0.0000 0.7311 1
Ni2 Ni 0.4671 0.0000 0.4644 1
Se1 Se 0.2490 0.5000 0.2604 1
```

---

Entry 2:
Computed, not measured: crystalline Tl3Cr2NiSe6 at its relaxed geometry at the PBE level of DFT.

Summary:
* E_tot: -4.7995 eV/atom
* formation energy (no corrections): -440 kJ/mol of formula units
* magnetization: 6.2 μB per formula unit
* N(E_F): 6.39 states/eV/f.u.

The structure in CIF format:
```
data_Tl3Cr2NiSe6
_chemical_formula_sum 'Tl6 Cr4 Ni2 Se12'
_symmetry_space_group_name_H-M 'C 1 2/m 1'
_symmetry_Int_Tables_number 12
_cell_length_a 6.5410
_cell_length_b 11.3042
_cell_length_c 7.8319
_cell_angle_alpha 90.00
_cell_angle_beta 105.99
_cell_angle_gamma 90.00
loop_
_symmetry_equiv_pos_as_xyz
'x,y,z'
'-x,-y,-z'
'-x,y,-z'
'x,-y,z'
'x+1/2,y+1/2,z'
'-x+1/2,-y+1/2,-z'
'-x+1/2,y+1/2,-z'
'x+1/2,-y+1/2,z'
loop_
_atom_site_label
_atom_site_type_symbol
_atom_site_fract_x
_atom_site_fract_y
_atom_site_fract_z
_atom_site_occupancy
Tl1 Tl 0.0000 0.0000 0.0000 1
Tl2 Tl 0.0000 0.3287 0.0000 1
Cr1 Cr 0.0000 0.1669 0.5000 1
Ni1 Ni 0.0000 0.5000 0.5000 1
Se1 Se 0.2186 0.3383 0.6717 1
Se2 Se 0.2332 0.0000 0.6765 1
```

---

Entry 3:
Computed, not measured: crystalline Tl2Cr2NiSe6 at its relaxed geometry at the PBE level of DFT.

Summary:
* E_tot: -5.0076 eV/atom
* formation energy (no corrections): -426 kJ/mol of formula units
* magnetization: 5.9 μB per formula unit
* N(E_F): 3.73 states/eV/f.u.

The structure in CIF format:
```
data_Tl2Cr2NiSe6
_chemical_formula_sum 'Tl4 Cr4 Ni2 Se12'
_symmetry_space_group_name_H-M 'C 1 2/m 1'
_symmetry_Int_Tables_number 12
_cell_length_a 6.4103
_cell_length_b 11.1425
_cell_length_c 7.8462
_cell_angle_alpha 90.00
_cell_angle_beta 107.22
_cell_angle_gamma 90.00
loop_
_symmetry_equiv_pos_as_xyz
'x,y,z'
'-x,-y,-z'
'-x,y,-z'
'x,-y,z'
'x+1/2,y+1/2,z'
'-x+1/2,-y+1/2,-z'
'-x+1/2,y+1/2,-z'
'x+1/2,-y+1/2,z'
loop_
_atom_site_label
_atom_site_type_symbol
_atom_site_fract_x
_atom_site_fract_y
_atom_site_fract_z
_atom_site_occupancy
Tl1 Tl 0.0000 0.1729 0.0000 1
Cr1 Cr 0.0000 0.3296 0.5000 1
Ni1 Ni 0.0000 0.0000 0.5000 1
Se1 Se 0.2268 0.1609 0.6770 1
Se2 Se 0.2407 0.5000 0.6729 1
```

---

Entry 4:
Computed, not measured: crystalline Y2CrNiSe at its relaxed geometry at the PBE level of DFT.

Summary:
* E_tot: -6.2312 eV/atom
* formation energy (no corrections): 64 kJ/mol of formula units
* magnetization: 2.9 μB per formula unit
* N(E_F): 4.68 states/eV/f.u.

The structure in CIF format:
```
data_Y2CrNiSe
_chemical_formula_sum 'Y2 Cr1 Ni1 Se1'
_symmetry_space_group_name_H-M 'P 4/m m m'
_symmetry_Int_Tables_number 123
_symmetry_space_group_name_Hall '-P 4 2'
_cell_length_a 5.3427
_cell_length_b 5.3427
_cell_length_c 4.4707
_cell_angle_alpha 90.00
_cell_angle_beta 90.00
_cell_angle_gamma 90.00
loop_
_atom_site_label
_atom_site_type_symbol
_atom_site_fract_x
_atom_site_fract_y
_atom_site_fract_z
_atom_site_occupancy
Y1 Y 0.0000 0.5000 0.0000 1
Cr1 Cr 0.0000 0.0000 0.5000 1
Ni1 Ni 0.5000 0.5000 0.5000 1
Se1 Se 0.0000 0.0000 0.0000 1
```

---

Entry 5:
Computed, not measured: crystalline CrSi2Ni at its relaxed geometry at the PBE level of DFT.

Summary:
* E_tot: -6.4052 eV/atom
* formation energy (no corrections): 61 kJ/mol of formula units
* magnetization: 3.1 μB per formula unit
* N(E_F): 2.29 states/eV/f.u.

The structure in CIF format:
```
data_CrSi2Ni
_chemical_formula_sum 'Cr4 Si8 Ni4'
_symmetry_space_group_name_H-M 'F -4 3 m'
_symmetry_Int_Tables_number 216
_symmetry_space_group_name_Hall 'F -4 2 3'
_cell_length_a 5.8839
_cell_length_b 5.8839
_cell_length_c 5.8839
_cell_angle_alpha 90.00
_cell_angle_beta 90.00
_cell_angle_gamma 90.00
loop_
_atom_site_label
_atom_site_type_symbol
_atom_site_fract_x
_atom_site_fract_y
_atom_site_fract_z
_atom_site_occupancy
Cr1 Cr 0.0000 0.0000 0.0000 1
Si1 Si 0.0000 0.0000 0.5000 1
Si2 Si 0.2500 0.2500 0.7500 1
Ni1 Ni 0.2500 0.2500 0.2500 1
```

---

Entry 6:
Computed, not measured: crystalline Cr2SiNi at its relaxed geometry at the PBE level of DFT.

Summary:
* E_tot: -7.6436 eV/atom
* formation energy (no corrections): -12 kJ/mol of formula units
* magnetization: 0.6 μB per formula unit
* N(E_F): 3.70 states/eV/f.u.

The structure in CIF format:
```
data_Cr2SiNi
_chemical_formula_sum 'Cr2 Si1 Ni1'
_symmetry_space_group_name_H-M 'P 4 m m'
_symmetry_Int_Tables_number 99
_cell_length_a 2.4880
_cell_length_b 2.4880
_cell_length_c 7.4127
_cell_angle_alpha 90.00
_cell_angle_beta 90.00
_cell_angle_gamma 90.00
loop_
_symmetry_equiv_pos_as_xyz
'x,y,z'
'-y,x,z'
'-x,-y,z'
'y,-x,z'
'-x,y,z'
'y,x,z'
'x,-y,z'
'-y,-x,z'
loop_
_atom_site_label
_atom_site_type_symbol
_atom_site_fract_x
_atom_site_fract_y
_atom_site_fract_z
_atom_site_occupancy
Cr1 Cr 0.0000 0.0000 0.0000 1
Cr2 Cr 0.5000 0.5000 0.2694 1
Si1 Si 0.5000 0.5000 0.7523 1
Ni1 Ni 0.0000 0.0000 0.5249 1
```

---

Entry 7:
Computed, not measured: crystalline Cr6Si7Ni16 at its relaxed geometry at the PBE level of DFT.

Summary:
* E_tot: -6.8132 eV/atom
* formation energy (no corrections): -905 kJ/mol of formula units
* magnetization: 0.0 μB per formula unit
* N(E_F): 29.87 states/eV/f.u.

The structure in CIF format:
```
data_Cr6Si7Ni16
_chemical_formula_sum 'Cr24 Si28 Ni64'
_symmetry_space_group_name_H-M 'F m -3 m'
_symmetry_Int_Tables_number 225
_symmetry_space_group_name_Hall '-F 4 2 3'
_cell_length_a 11.0131
_cell_length_b 11.0131
_cell_length_c 11.0131
_cell_angle_alpha 90.00
_cell_angle_beta 90.00
_cell_angle_gamma 90.00
loop_
_atom_site_label
_atom_site_type_symbol
_atom_site_fract_x
_atom_site_fract_y
_atom_site_fract_z
_atom_site_occupancy
Cr1 Cr 0.0000 0.0000 0.1567 1
Si1 Si 0.0000 0.0000 0.5000 1
Si2 Si 0.0000 0.2500 0.2500 1
Ni1 Ni 0.1171 0.1171 0.3829 1
Ni2 Ni 0.1678 0.1678 0.1678 1
```

---

Entry 8:
Computed, not measured: crystalline CrSiNi at its relaxed geometry at the PBE level of DFT.

Summary:
* E_tot: -7.2209 eV/atom
* formation energy (no corrections): -81 kJ/mol of formula units
* magnetization: 0.0 μB per formula unit
* N(E_F): 2.04 states/eV/f.u.

The structure in CIF format:
```
data_CrSiNi
_chemical_formula_sum 'Cr4 Si4 Ni4'
_symmetry_space_group_name_H-M 'C 1 2 1'
_symmetry_Int_Tables_number 5
_cell_length_a 4.2635
_cell_length_b 7.4802
_cell_length_c 4.5908
_cell_angle_alpha 90.00
_cell_angle_beta 110.23
_cell_angle_gamma 90.00
loop_
_symmetry_equiv_pos_as_xyz
'x,y,z'
'-x,y,-z'
'x+1/2,y+1/2,z'
'-x+1/2,y+1/2,-z'
loop_
_atom_site_label
_atom_site_type_symbol
_atom_site_fract_x
_atom_site_fract_y
_atom_site_fract_z
_atom_site_occupancy
Cr1 Cr 0.0000 0.0000 0.0000 1
Cr2 Cr 0.0000 0.3410 0.0000 1
Si1 Si 0.0000 0.4787 0.5000 1
Si2 Si 0.0000 0.6717 0.0000 1
Ni1 Ni 0.0000 0.1495 0.5000 1
Ni2 Ni 0.0000 0.8186 0.5000 1
```